Record 1
## Mo3W (PBE-GGA)

Data for crystalline Mo3W at its relaxed geometry.

Cell: 2.7679 2.7679 9.8217 Å, 90.00 90.00 120.00°
Last column: nearest neighbours and their distance in Å.
Space group P-6m2 (No. 187)
Asymmetric unit:
Mo (0.0000, 0.0000, 0.0000)  12 Mo 2.77-2.92
Mo (0.6667, 0.3333, 0.2491)  9 Mo 2.77-2.92, 3 W 2.94
W (0.0000, 0.0000, 0.5000)  6 W 2.77, 6 Mo 2.94

## Properties
- calculated total energy (eV/cell) = -43.73
- formation energy from the elements (eV/atom) = 0.430
- excess energy over the best structure of this formula in the dataset (meV/atom) = 450

Record 2
## LiMn5S8 (PBE-GGA)

Data for crystalline LiMn5S8 at its relaxed geometry.

Cell: 8.5037 8.5037 6.9508 Å, 90.00 90.00 90.00°
Last column: nearest neighbours and their distance in Å.
Space group I-4 (No. 82)
Asymmetric unit:
Li (0.0000, 0.0000, 0.0000)  4 S 2.44
Mn (0.0000, 0.5000, 0.7500)  4 S 2.37
Mn (0.2326, 0.2587, 0.1216)  5 S 2.35-2.52
S (0.0595, 0.7563, 0.6363)  3 Mn 2.37-2.39
S (0.0642, 0.7375, 0.1190)  3 Mn 2.35-2.52, 1 Li 2.44

## Properties
- calculated total energy (eV/cell) = -177.84
- raw formation energy (eV per atom) = -0.58
- excess energy over the best structure of this formula in the dataset (meV/atom) = 0

Record 3
## TbPu2PaS4 (PBE-GGA)

Data for crystalline TbPu2PaS4 at its relaxed geometry.

Cell: 6.7914 3.9048 6.8122 Å, 90.00 109.26 90.00°
Last column: nearest neighbours and their distance in Å.
Space group P2/m (No. 10)
Asymmetric unit:
Tb (0.0000, 0.0000, 0.0000)  6 S 2.77
Pu (0.5000, 0.0000, 0.5000)  6 S 2.77
Pu (0.5000, 0.5000, 0.0000)  6 S 2.77-2.78
Pa (0.0000, 0.5000, 0.5000)  6 S 2.77-2.78
S (0.2493, 0.5000, 0.2499)  1 Pa 2.77, 2 Tb 2.77, 3 Pu 2.77-2.78
S (0.2508, 0.0000, 0.7510)  3 Pu 2.77, 1 Tb 2.77, 2 Pa 2.78

## Properties
- calculated total energy (eV/cell) = -73.64
- raw formation energy (eV per atom) = -1.79

Record 4
## SiP3 (PBE-GGA)

Data for crystalline SiP3 at its relaxed geometry.

Cell: 2.7999 4.1729 5.1436 Å, 90.00 90.00 90.00°
Last column: nearest neighbours and their distance in Å.
Space group Pmmm (No. 47)
Asymmetric unit:
Si (0.0000, 0.0000, 0.0000)  2 P 2.57, 2 Si 2.80
P (0.0000, 0.0000, 0.5000)  2 Si 2.57, 10 P 2.76-2.80
P (0.5000, 0.5000, 0.2785)  1 P 2.28

## Properties
- calculated total energy (eV/cell) = -18.69
- raw formation energy (eV per atom) = 0.74

Record 5
## LaSmDyEr (PBE-GGA)

Data for crystalline LaSmDyEr at its relaxed geometry.

Cell: 12.4851 5.9077 3.7979 Å, 90.00 107.23 90.00°
Last column: nearest neighbours and their distance in Å.
Space group Cm (No. 8)
Asymmetric unit:
La (0.0000, 0.0000, 0.0000)  4 Er 3.44-3.58, 2 Dy 3.50-3.71, 2 Sm 3.56-3.85, 2 La 3.80
Sm (0.2342, 0.5000, 0.1673)  2 Er 3.39-3.50, 4 Dy 3.50-3.54, 1 La 3.56, 2 Sm 3.80
Dy (0.2564, 0.0000, 0.6988)  2 Er 3.34-3.47, 2 La 3.50-3.71, 4 Sm 3.50-3.54
Er (0.4930, 0.0000, 0.4590)  2 Dy 3.34-3.47, 2 Sm 3.39-3.50, 4 La 3.44-3.58

## Properties
- calculated total energy (eV/cell) = -36.78
- formation energy from the elements (eV/atom) = 0.106

Record 6
## LiNiRu (PBE-GGA)

Data for crystalline LiNiRu at its relaxed geometry.

Cell: 2.5109 3.8247 7.6302 Å, 90.00 90.00 90.00°
Last column: nearest neighbours and their distance in Å.
Space group Imm2 (No. 44)
Asymmetric unit:
Li (0.0000, 0.0000, 0.0000)  5 Ru 2.49-2.65, 2 Li 2.51, 5 Ni 2.55-2.62
Ni (0.0000, 0.0000, 0.6661)  2 Ni 2.51, 5 Li 2.55-2.62, 5 Ru 2.59-2.60
Ru (0.0000, 0.0000, 0.3259)  5 Li 2.49-2.65, 2 Ru 2.51, 5 Ni 2.59-2.60

## Properties
- calculated total energy (eV/cell) = -32.78
- formation energy from the elements (eV/atom) = 0.193
- excess energy over the best structure of this formula in the dataset (meV/atom) = 38

Record 7
## PmB14Ru (PBE-GGA)

Data for crystalline PmB14Ru at its relaxed geometry.

Cell: 5.8911 10.8724 8.2981 Å, 90.00 90.00 90.00°
Last column: nearest neighbours and their distance in Å.
Space group Imma (No. 74)
Asymmetric unit:
Pm (0.0000, 0.2500, 0.1220)  6 B 2.54-2.78
B (0.0000, 0.0820, 0.6696)  5 B 1.69-1.83
B (0.0000, 0.1204, 0.8667)  3 B 1.69-1.72
B (0.0000, 0.1662, 0.4646)  6 B 1.81-1.93
B (0.1615, 0.0616, 0.3395)  6 B 1.81-1.90
B (0.2458, 0.0778, 0.5485)  6 B 1.72-1.87
Ru (0.2500, 0.2500, 0.7500)  12 B 2.26-2.51

## Properties
- calculated total energy (eV/cell) = -435.79
- formation energy from the elements (eV/atom) = -0.090

Record 8
## PrUTl2Se4 (PBE-GGA)

Data for crystalline PrUTl2Se4 at its relaxed geometry.

Cell: 7.4057 4.2752 8.1780 Å, 90.00 107.55 90.00°
Last column: nearest neighbours and their distance in Å.
Space group P2/m (No. 10)
Asymmetric unit:
Pr (0.0000, 0.0000, 0.0000)  6 Se 3.00-3.01
U (0.5000, 0.5000, 0.0000)  6 Se 2.91-2.92
Tl (0.0000, 0.5000, 0.5000)  6 Se 3.39
Tl (0.5000, 0.0000, 0.5000)  6 Se 3.31-3.32
Se (0.2458, 0.5000, 0.2113)  1 U 2.91, 2 Pr 3.00
Se (0.2738, 0.0000, 0.7932)  2 U 2.92, 1 Pr 3.01

## Properties
- calculated total energy (eV/cell) = -43.64
- raw formation energy (eV per atom) = -1.11

Record 9
## ThZrAlZn (PBE-GGA)

Data for crystalline ThZrAlZn at its relaxed geometry.

Cell: 7.1074 7.1074 7.1074 Å, 90.00 90.00 90.00°
Last column: nearest neighbours and their distance in Å.
Space group F-43m (No. 216)
Asymmetric unit:
Th (0.0000, 0.0000, 0.0000)  4 Zn 3.08, 4 Al 3.08
Zr (0.0000, 0.0000, 0.5000)  4 Al 3.08, 4 Zn 3.08
Al (0.2500, 0.2500, 0.2500)  4 Zr 3.08, 4 Th 3.08
Zn (0.2500, 0.2500, 0.7500)  4 Zr 3.08, 4 Th 3.08

## Properties
- calculated total energy (eV/cell) = -86.70
- formation energy from the elements (eV/atom) = -0.173

Record 10
## YAs2PtSe (PBE-GGA)

Data for crystalline YAs2PtSe at its relaxed geometry.

Cell: 5.3886 5.3886 5.2510 Å, 90.00 90.00 90.00°
Last column: nearest neighbours and their distance in Å.
Space group P4/mmm (No. 123)
Asymmetric unit:
Y (0.0000, 0.0000, 0.0000)  2 Se 2.63, 4 As 2.69
As (0.0000, 0.5000, 0.0000)  2 Y 2.69
Pt (0.5000, 0.5000, 0.5000)  8 As 3.76, 4 Se 3.81
Se (0.0000, 0.0000, 0.5000)  2 Y 2.63

## Properties
- calculated total energy (eV/cell) = -21.41
- raw formation energy (eV per atom) = 0.78
- excess energy over the best structure of this formula in the dataset (meV/atom) = 937

Record 11
## Sm3Th4Te8 (PBE-GGA)

Data for crystalline Sm3Th4Te8 at its relaxed geometry.

Cell: 12.5230 12.5333 8.7946 Å, 90.00 134.48 90.00°
Last column: nearest neighbours and their distance in Å.
Space group C2/m (No. 12)
Asymmetric unit:
Sm (0.0000, 0.0000, 0.0000)  6 Te 3.11-3.12
Sm (0.2500, 0.2500, 0.0000)  6 Te 3.13-3.14
Th (0.0000, 0.5000, 0.0000)  6 Te 3.15-3.16
Th (0.0000, 0.5000, 0.5000)  6 Te 3.25-3.27
Th (0.2500, 0.2500, 0.5000)  6 Te 3.13-3.14
Te (0.0000, 0.2398, 0.5000)  3 Th 3.13-3.26, 2 Sm 3.14
Te (0.0000, 0.2480, 0.0000)  3 Sm 3.11-3.13, 3 Th 3.14-3.16
Te (0.2370, 0.0000, 0.4968)  1 Sm 3.12, 4 Th 3.14-3.27
Te (0.2402, 0.0000, 0.9822)  3 Sm 3.12-3.14, 2 Th 3.15-3.25

## Properties
- calculated total energy (eV/cell) = -174.64
- raw formation energy (eV per atom) = -1.22

Record 12
## LiIn2N (PBE-GGA)

Data for crystalline LiIn2N at its relaxed geometry.

Cell: 6.2878 6.2878 8.5944 Å, 90.00 90.00 90.00°
Last column: nearest neighbours and their distance in Å.
Space group I-42d (No. 122)
Asymmetric unit:
Li (0.0000, 0.0000, 0.0000)  4 In 2.77
In (0.1807, 0.2500, 0.6250)  2 N 2.22
N (0.0000, 0.0000, 0.5000)  4 In 2.22

## Properties
- calculated total energy (eV/cell) = -59.27
- raw formation energy (eV per atom) = 0.22

Number 1: density of states at the Fermi level 1.12 states/eV/atom. Number 2: density of states at the Fermi level 0.21 states/eV/atom. Number 3: density of states at the Fermi level 1.81 states/eV/atom. Number 4: density of states at the Fermi level 0.34 states/eV/atom. Number 5: density of states at the Fermi level 1.79 states/eV/atom. Number 6: density of states at the Fermi level 1.12 states/eV/atom. Number 7: density of states at the Fermi level 0.25 states/eV/atom. Number 8: density of states at the Fermi level 0.89 states/eV/atom. Number 9: density of states at the Fermi level 1.16 states/eV/atom. Number 10: density of states at the Fermi level 0.87 states/eV/atom. Number 11: density of states at the Fermi level 0.67 states/eV/atom. Number 12: density of states at the Fermi level 0.00 states/eV/atom.